An optimized crystal structure of Ac2SnBr2, computed with PBE-GGA.

Calculated values
formation energy without anion corrections: -1.088 eV/atom
volume: 393 Å³/cell
total moment: 0.00 μB per atom
total DFT energy (no corrections): -0.154 hartree per atom
SG: C2/c, No. 15

Lattice parameters (Å, degrees): 8.276 8.276 6.751 109.11 109.11 99.73
Fractional coordinates of all 10 atoms:
Ac 0.375 0.625 0.250
Ac 0.866 0.134 0.250
Ac 0.134 0.866 0.750
Ac 0.625 0.375 0.750
Sn 0.127 0.873 0.250
Sn 0.873 0.127 0.750
Br 0.774 0.554 0.474
Br 0.446 0.226 0.026
Br 0.554 0.774 0.974
Br 0.226 0.446 0.526